1.
A plane-wave DFT calculation with PBE-GGA was carried out for LaPt2Au2 after structural relaxation.

Cell lengths 4.0714, 4.0714, 12.8950 Å; angles 90.00, 90.00, 90.00 degrees
Space group I4/mmm (No. 139)
Unique sites:
La: 0.0000 0.0000 0.0000 (multiplicity 2)
Pt: 0.0000 0.0000 0.4002 (multiplicity 4)
Au: 0.0000 0.5000 0.2500 (multiplicity 4)

=====

2.
A plane-wave DFT calculation with PBE-GGA was carried out for LaPt2Au2 after structural relaxation.

Cell lengths 7.6763, 7.6763, 3.4148 Å; angles 90.00, 90.00, 90.00 degrees
Space group P4/mbm (No. 127)
Unique sites:
La: 0.0000 0.0000 0.0000 (multiplicity 2)
Pt: 0.1710 0.3290 0.5000 (multiplicity 4)
Au: 0.1274 0.6274 0.0000 (multiplicity 4)

=====

Tell me which of them is the most stable. Sure, it is 1.

=====

1.
A plane-wave DFT calculation with PBE-GGA was carried out for LaPt2Au2 after structural relaxation.

Cell lengths 7.4199, 7.4199, 3.7017 Å; angles 90.00, 90.00, 90.00 degrees
Space group P4/mbm (No. 127)
Unique sites:
La: 0.0000 0.0000 0.0000 (multiplicity 2)
Pt: 0.1314 0.3686 0.0000 (multiplicity 4)
Au: 0.1644 0.6644 0.5000 (multiplicity 4)

=====

2.
A plane-wave DFT calculation with PBE-GGA was carried out for LaPt2Au2 after structural relaxation.

Cell lengths 4.0512, 4.0512, 25.8878 Å; angles 90.00, 90.00, 90.00 degrees
Space group I4/mmm (No. 139)
Unique sites:
La: 0.0000 0.0000 0.1222 (multiplicity 4)
Pt: 0.0000 0.0000 0.4241 (multiplicity 4)
Pt: 0.0000 0.5000 0.2500 (multiplicity 4)
Au: 0.0000 0.0000 0.3226 (multiplicity 4)
Au: 0.0000 0.5000 0.0000 (multiplicity 4)

=====

Tell me which of them is the most stable. Sure, it is 2.

=====

1.
A plane-wave DFT calculation with PBE-GGA was carried out for La2Pt2Au after structural relaxation.

Cell lengths 8.2355, 8.2355, 3.7818 Å; angles 90.00, 90.00, 90.00 degrees
Space group P4/mbm (No. 127)
Unique sites:
La: 0.1675 0.3325 0.0000 (multiplicity 4)
Pt: 0.1266 0.6266 0.5000 (multiplicity 4)
Au: 0.0000 0.0000 0.0000 (multiplicity 2)

=====

2.
A plane-wave DFT calculation with PBE-GGA was carried out for La2Pt2Au after structural relaxation.

Cell lengths 5.6452, 5.6452, 8.1657 Å; angles 90.00, 90.00, 90.00 degrees
Space group I4/mmm (No. 139)
Unique sites:
La: 0.0000 0.5000 0.2500 (multiplicity 4)
Pt: 0.0000 0.0000 0.1601 (multiplicity 4)
Au: 0.0000 0.0000 0.5000 (multiplicity 2)

=====

Tell me which of them is the most stable. Sure, it is 2.

=====

1.
A plane-wave DFT calculation with PBE-GGA was carried out for La2Pt2Au after structural relaxation.

Cell lengths 3.9777, 3.9777, 16.0045 Å; angles 90.00, 90.00, 90.00 degrees
Space group I4/mmm (No. 139)
Unique sites:
La: 0.0000 0.0000 0.1132 (multiplicity 4)
Pt: 0.0000 0.5000 0.2500 (multiplicity 4)
Au: 0.0000 0.0000 0.5000 (multiplicity 2)

=====

2.
A plane-wave DFT calculation with PBE-GGA was carried out for La2Pt2Au after structural relaxation.

Cell lengths 7.8963, 7.8963, 3.8806 Å; angles 90.00, 90.00, 90.00 degrees
Space group P4/mbm (No. 127)
Unique sites:
La: 0.1734 0.3266 0.0000 (multiplicity 4)
Pt: 0.1298 0.6298 0.5000 (multiplicity 4)
Au: 0.0000 0.0000 0.5000 (multiplicity 2)

=====

Tell me which of them is the most stable. Sure, it is 2.

=====

1.
A plane-wave DFT calculation with PBE-GGA was carried out for LaPtAu2 after structural relaxation.

Cell lengths 7.0256, 7.0256, 7.0256 Å; angles 90.00, 90.00, 90.00 degrees
Space group Fm-3m (No. 225)
Unique sites:
La: 0.0000 0.0000 0.0000 (multiplicity 4)
Pt: 0.0000 0.0000 0.5000 (multiplicity 4)
Au: 0.2500 0.2500 0.2500 (multiplicity 8)

=====

2.
A plane-wave DFT calculation with PBE-GGA was carried out for LaPtAu2 after structural relaxation.

Cell lengths 3.8402, 3.8402, 5.9171 Å; angles 90.00, 90.00, 90.00 degrees
Space group P4mm (No. 99)
Unique sites:
La: 0.0000 0.0000 0.0000 (multiplicity 1)
Pt: 0.5000 0.5000 0.2335 (multiplicity 1)
Au: 0.0000 0.0000 0.4944 (multiplicity 1)
Au: 0.5000 0.5000 0.7046 (multiplicity 1)

=====

Tell me which of them is the most stable. Sure, it is 2.

=====

1.
A plane-wave DFT calculation with PBE-GGA was carried out for LaPt3Au after structural relaxation.

Cell lengths 5.1888, 5.1888, 5.1888 Å; angles 90.00, 90.00, 90.00 degrees
Space group Pm-3m (No. 221)
Unique sites:
La: 0.0000 0.0000 0.0000 (multiplicity 1)
Pt: 0.0000 0.0000 0.5000 (multiplicity 3)
Au: 0.5000 0.5000 0.5000 (multiplicity 1)

=====

2.
A plane-wave DFT calculation with PBE-GGA was carried out for LaPt3Au after structural relaxation.

Cell lengths 4.9848, 4.9848, 4.9848 Å; angles 90.00, 90.00, 90.00 degrees
Space group Pm-3m (No. 221)
Unique sites:
La: 0.0000 0.0000 0.0000 (multiplicity 1)
Pt: 0.0000 0.5000 0.5000 (multiplicity 3)
Au: 0.5000 0.5000 0.5000 (multiplicity 1)

=====

Tell me which of them is the most stable. Sure, it is 2.